Crystalline CsHfNO at its relaxed geometry, computed with PBE-GGA.

Geometry as extended XYZ:
```
16
Lattice="6.3672 0.0000 0.0000 0.0000 9.1885 0.0000 0.0000 0.0000 6.0815" Properties=species:S:1:pos:R:3 pbc="T T T"
Cs 0.2925 1.1655 0.0000
Cs 2.8911 1.1655 3.0407
Cs 3.4761 8.0230 0.0000
Cs 6.0747 8.0230 3.0407
Hf 0.6483 5.3923 5.7923
Hf 2.5353 5.3923 2.7516
Hf 3.8319 3.7962 5.7923
Hf 5.7189 3.7962 2.7516
N 0.1469 7.1298 0.0873
N 3.0367 7.1298 3.1280
N 3.3305 2.0587 0.0873
N 6.2203 2.0587 3.1280
O 0.7133 5.0650 3.7156
O 2.4703 5.0650 0.6749
O 3.8969 4.1235 3.7156
O 5.6539 4.1235 0.6749
```

Output
DFT total energy: -7.447 eV/atom
Distance to the lowest polymorph of the same formula: 458 meV/atom
V: 22.237 Å³/atom